(1)
A geometry-optimized La6Pr2SmHo structure. Source: Alexandria via LeMat-Bulk, functional PBE-GGA.

a = 9.9318 Å, b = 15.4388 Å, c = 9.3281 Å
α = 90.00°, β = 90.30°, γ = 90.00°
Space group C2/c (No. 15)
Symmetry-distinct sites (fractional):
La 0.0734 0.1506 0.4082 [8 per cell]
La 0.0743 0.3548 0.5945 [8 per cell]
La 0.2472 0.2184 0.8187 [8 per cell]
Pr 0.2505 0.0446 0.0636 [8 per cell]
Sm 0.0000 0.0683 0.7500 [4 per cell]
Ho 0.0000 0.4293 0.2500 [4 per cell]

## Properties
The calculation puts the formation energy at 0.1080 eV/atom.

***

(2)
A geometry-optimized H2Pt2Au structure. Source: Alexandria via LeMat-Bulk, functional PBE-GGA.

a = 9.4616 Å, b = 2.9093 Å, c = 4.8744 Å
α = 90.00°, β = 120.33°, γ = 90.00°
Space group Cm (No. 8)
Symmetry-distinct sites (fractional):
H 0.0000 0.0000 0.0000 [2 per cell]
H 0.0053 0.0000 0.5593 [2 per cell]
Pt 0.1104 0.5000 0.0582 [2 per cell]
Pt 0.4138 0.0000 0.3522 [2 per cell]
Au 0.2459 0.0000 0.6846 [2 per cell]

## Properties
The value obtained for the excess energy over the best structure of this formula in the dataset is 0.024 eV per atom.

***

(3)
A geometry-optimized BeTlZn2Ir structure. Source: Alexandria via LeMat-Bulk, functional PBE-GGA.

a = 4.9048 Å, b = 4.9048 Å, c = 4.3017 Å
α = 90.00°, β = 90.00°, γ = 90.00°
Space group P4/mmm (No. 123)
Symmetry-distinct sites (fractional):
Be 0.0000 0.0000 0.0000 [1 per cell]
Tl 0.5000 0.5000 0.0000 [1 per cell]
Zn 0.0000 0.5000 0.5000 [2 per cell]
Ir 0.0000 0.0000 0.5000 [1 per cell]

## Properties
The calculation puts the formation energy at 0.1659 eV/atom.

***

(4)
A geometry-optimized HfSn2Ir structure. Source: Alexandria via LeMat-Bulk, functional PBE-GGA.

a = 7.8465 Å, b = 7.8465 Å, c = 5.7029 Å
α = 90.00°, β = 90.00°, γ = 90.00°
Space group I-42d (No. 122)
Symmetry-distinct sites (fractional):
Hf 0.0000 0.0000 0.0000 [4 per cell]
Sn 0.2094 0.7500 0.6250 [8 per cell]
Ir 0.0000 0.0000 0.5000 [4 per cell]

## Properties
The calculation puts the formation energy at -0.0299 eV/atom.

***

(5)
A geometry-optimized ZnSiN2 structure. Source: Alexandria via LeMat-Bulk, functional PBE-GGA.

a = 5.3016 Å, b = 5.3016 Å, c = 5.3016 Å
α = 90.00°, β = 90.00°, γ = 90.00°
Space group Fm-3m (No. 225)
Symmetry-distinct sites (fractional):
Zn 0.0000 0.0000 0.0000 [4 per cell]
Si 0.0000 0.0000 0.5000 [4 per cell]
N 0.2500 0.2500 0.2500 [8 per cell]

## Properties
The value obtained for the formation energy without anion corrections is 1.212 eV per atom.

***

(6)
A geometry-optimized IrRu structure. Source: Alexandria via LeMat-Bulk, functional PBE-GGA.

a = 9.9113 Å, b = 2.7479 Å, c = 6.4506 Å
α = 90.00°, β = 103.94°, γ = 90.00°
Space group Cm (No. 8)
Symmetry-distinct sites (fractional):
Ir 0.0000 0.0000 0.0000 [2 per cell]
Ir 0.0566 0.0000 0.6131 [2 per cell]
Ir 0.1699 0.5000 0.3365 [2 per cell]
Ru 0.2248 0.5000 0.9471 [2 per cell]
Ru 0.3347 0.0000 0.6690 [2 per cell]
Ru 0.3890 0.0000 0.2775 [2 per cell]

## Properties
The value obtained for the excess energy over the best structure of this formula in the dataset is 0.025 eV per atom. The calculation puts the formation energy at -0.0304 eV/atom.

***

(7)
A geometry-optimized PmMgRu2 structure. Source: Alexandria via LeMat-Bulk, functional PBE-GGA.

a = 3.4297 Å, b = 3.4297 Å, c = 6.3501 Å
α = 90.00°, β = 90.00°, γ = 90.00°
Space group P4/mmm (No. 123)
Symmetry-distinct sites (fractional):
Pm 0.0000 0.0000 0.0000 [1 per cell]
Mg 0.0000 0.0000 0.5000 [1 per cell]
Ru 0.5000 0.5000 0.2915 [2 per cell]

## Properties
The calculation puts the formation energy at 0.0922 eV/atom.

***

(8)
A geometry-optimized ZrCoAu structure. Source: Alexandria via LeMat-Bulk, functional PBE-GGA.

a = 6.2347 Å, b = 6.2347 Å, c = 6.2347 Å
α = 90.00°, β = 90.00°, γ = 90.00°
Space group F-43m (No. 216)
Symmetry-distinct sites (fractional):
Zr 0.0000 0.0000 0.0000 [4 per cell]
Co 0.2500 0.2500 0.2500 [4 per cell]
Au 0.2500 0.2500 0.7500 [4 per cell]

## Properties
The calculation puts the formation energy at 0.2611 eV/atom.

***

(9)
A geometry-optimized BaCuP structure. Source: Alexandria via LeMat-Bulk, functional PBE-GGA.

a = 4.1903 Å, b = 7.2765 Å, c = 4.7020 Å
α = 90.00°, β = 90.00°, γ = 90.00°
Space group Pmm2 (No. 25)
Symmetry-distinct sites (fractional):
Ba 0.0000 0.0000 0.9999 [1 per cell]
Ba 0.5000 0.5000 0.0000 [1 per cell]
Cu 0.0000 0.3224 0.5008 [2 per cell]
P 0.5000 0.1642 0.4997 [2 per cell]

## Properties
The calculation puts the formation energy at -0.5840 eV/atom.

***

(10)
A geometry-optimized YZn3Ru structure. Source: Alexandria via LeMat-Bulk, functional PBE-GGA.

a = 5.3020 Å, b = 5.3020 Å, c = 5.3020 Å
α = 90.00°, β = 90.00°, γ = 90.00°
Space group Pm-3m (No. 221)
Symmetry-distinct sites (fractional):
Y 0.0000 0.0000 0.0000 [1 per cell]
Zn 0.0000 0.0000 0.5000 [3 per cell]
Ru 0.5000 0.5000 0.5000 [1 per cell]

## Properties
The value obtained for the excess energy over the best structure of this formula in the dataset is 1.584 eV per atom. The calculation puts the formation energy at 1.6253 eV/atom.

***

(11)
A geometry-optimized SmDyAlIn structure. Source: Alexandria via LeMat-Bulk, functional PBE-GGA.

a = 7.4473 Å, b = 7.4473 Å, c = 7.4473 Å
α = 90.00°, β = 90.00°, γ = 90.00°
Space group F-43m (No. 216)
Symmetry-distinct sites (fractional):
Sm 0.0000 0.0000 0.0000 [4 per cell]
Dy 0.0000 0.0000 0.5000 [4 per cell]
Al 0.2500 0.2500 0.2500 [4 per cell]
In 0.2500 0.2500 0.7500 [4 per cell]

## Properties
The value obtained for the excess energy over the best structure of this formula in the dataset is 0.012 eV per atom. The calculation puts the formation energy at -0.4139 eV/atom.

***

(12)
A geometry-optimized BaLaOs2 structure. Source: Alexandria via LeMat-Bulk, functional PBE-GGA.

a = 3.4955 Å, b = 4.8436 Å, c = 5.2759 Å
α = 90.00°, β = 90.00°, γ = 90.00°
Space group Pmmm (No. 47)
Symmetry-distinct sites (fractional):
Ba 0.0000 0.0000 0.0000 [1 per cell]
La 0.5000 0.0000 0.5000 [1 per cell]
Os 0.0000 0.5000 0.5000 [1 per cell]
Os 0.5000 0.5000 0.0000 [1 per cell]

## Properties
The value obtained for the excess energy over the best structure of this formula in the dataset is 0.961 eV per atom. The calculation puts the formation energy at 1.0556 eV/atom.

***

(13)
A geometry-optimized NbGaAs2Br structure. Source: Alexandria via LeMat-Bulk, functional PBE-GGA.

a = 4.9926 Å, b = 4.9926 Å, c = 5.4737 Å
α = 90.00°, β = 90.00°, γ = 90.00°
Space group P4/mmm (No. 123)
Symmetry-distinct sites (fractional):
Nb 0.0000 0.0000 0.0000 [1 per cell]
Ga 0.5000 0.5000 0.5000 [1 per cell]
As 0.0000 0.5000 0.0000 [2 per cell]
Br 0.0000 0.0000 0.5000 [1 per cell]

## Properties
The value obtained for the excess energy over the best structure of this formula in the dataset is 0.000 eV per atom. The value obtained for the formation energy without anion corrections is 0.060 eV per atom.

***

(14)
A geometry-optimized SbAu structure. Source: Alexandria via LeMat-Bulk, functional PBE-GGA.

a = 4.2516 Å, b = 4.2516 Å, c = 19.1070 Å
α = 90.00°, β = 90.00°, γ = 120.00°
Space group P-3m1 (No. 164)
Symmetry-distinct sites (fractional):
Sb 0.0000 0.0000 0.1039 [2 per cell]
Sb 0.3333 0.6667 0.2260 [2 per cell]
Sb 0.3333 0.6667 0.4353 [2 per cell]
Au 0.0000 0.0000 0.2934 [2 per cell]
Au 0.3333 0.6667 0.6318 [2 per cell]
Au 0.3333 0.6667 0.9627 [2 per cell]

## Properties
The value obtained for the formation energy without anion corrections is 0.022 eV per atom.

***

(15)
A geometry-optimized LiTbDy2Rh4 structure. Source: Alexandria via LeMat-Bulk, functional PBE-GGA.

a = 4.7140 Å, b = 4.7140 Å, c = 23.1502 Å
α = 90.00°, β = 90.00°, γ = 120.00°
Space group R-3m (No. 166, hexagonal axes)
Symmetry-distinct sites (fractional):
Li 0.0000 0.0000 0.0000 [3 per cell]
Tb 0.0000 0.0000 0.5000 [3 per cell]
Dy 0.0000 0.0000 0.2582 [6 per cell]
Rh 0.0000 0.0000 0.1236 [6 per cell]
Rh 0.0000 0.0000 0.3769 [6 per cell]

## Properties
The calculation puts the formation energy at -0.7074 eV/atom.

***

(16)
A geometry-optimized HfScOF2 structure. Source: Alexandria via LeMat-Bulk, functional PBE-GGA.

a = 4.3422 Å, b = 4.3422 Å, c = 4.0773 Å
α = 90.00°, β = 90.00°, γ = 90.00°
Space group P4/mmm (No. 123)
Symmetry-distinct sites (fractional):
Hf 0.0000 0.0000 0.0000 [1 per cell]
Sc 0.5000 0.5000 0.5000 [1 per cell]
O 0.0000 0.0000 0.5000 [1 per cell]
F 0.0000 0.5000 0.0000 [2 per cell]

## Properties
The value obtained for the excess energy over the best structure of this formula in the dataset is 0.000 eV per atom. The value obtained for the formation energy without anion corrections is -2.147 eV per atom.

***

(17)
A geometry-optimized ZrSc4Ru structure. Source: Alexandria via LeMat-Bulk, functional PBE-GGA.

a = 7.9894 Å, b = 7.9894 Å, c = 7.9894 Å
α = 90.00°, β = 90.00°, γ = 90.00°
Space group F-43m (No. 216)
Symmetry-distinct sites (fractional):
Zr 0.0000 0.0000 0.0000 [4 per cell]
Sc 0.1249 0.1249 0.3751 [16 per cell]
Ru 0.2500 0.2500 0.7500 [4 per cell]

## Properties
The value obtained for the excess energy over the best structure of this formula in the dataset is 0.677 eV per atom. The calculation puts the formation energy at 0.4442 eV/atom.

***

(18)
A geometry-optimized Li4TmBi2 structure. Source: Alexandria via LeMat-Bulk, functional PBE-GGA.

a = 8.1445 Å, b = 8.1445 Å, c = 4.5666 Å
α = 90.00°, β = 90.00°, γ = 90.00°
Space group P4_2/mnm (No. 136)
Symmetry-distinct sites (fractional):
Li 0.1037 0.3497 0.0000 [8 per cell]
Tm 0.0000 0.0000 0.5000 [2 per cell]
Bi 0.2075 0.7925 0.0000 [4 per cell]

## Properties
The calculation puts the formation energy at -0.4992 eV/atom.

***

(19)
A geometry-optimized Tl3AgTe2 structure. Source: Alexandria via LeMat-Bulk, functional PBE-GGA.

a = 7.6218 Å, b = 14.9447 Å, c = 7.1404 Å
α = 90.00°, β = 90.00°, γ = 90.00°
Space group Ibam (No. 72)
Symmetry-distinct sites (fractional):
Tl 0.0000 0.0000 0.2500 [4 per cell]
Tl 0.2320 0.3395 0.0000 [8 per cell]
Ag 0.0000 0.5000 0.2500 [4 per cell]
Te 0.1963 0.3810 0.5000 [8 per cell]

## Properties
The value obtained for the formation energy without anion corrections is -0.214 eV per atom.

***

(20)
A geometry-optimized Li7Ag2Au2 structure. Source: Alexandria via LeMat-Bulk, functional PBE-GGA.

a = 8.2603 Å, b = 7.5521 Å, c = 6.8699 Å
α = 90.00°, β = 90.10°, γ = 90.00°
Space group C2/m (No. 12)
Symmetry-distinct sites (fractional):
Li 0.0000 0.0000 0.0000 [2 per cell]
Li 0.0005 0.5000 0.3158 [4 per cell]
Li 0.2499 0.2497 0.2538 [8 per cell]
Ag 0.0000 0.1790 0.5000 [4 per cell]
Au 0.1744 0.5000 0.0001 [4 per cell]

## Properties
The calculation puts the formation energy at -0.1736 eV/atom.